Entry 1:
DFT (PBE) results for a geometry-optimized TaMn2Hg structure.

Cell and atoms, written as CIF:
```
data_TaMn2Hg
_chemical_formula_sum 'Ta1 Mn2 Hg1'
_cell_length_a 2.8670
_cell_length_b 2.8670
_cell_length_c 8.1789
_cell_angle_alpha 90.00
_cell_angle_beta 90.00
_cell_angle_gamma 90.00
_symmetry_space_group_name_H-M 'P 4/m m m'
_symmetry_Int_Tables_number 123
_symmetry_space_group_name_Hall '-P 4 2'
loop_
_atom_site_label
_atom_site_type_symbol
_atom_site_fract_x
_atom_site_fract_y
_atom_site_fract_z
Ta1 Ta 0.0000 0.0000 0.0000
Mn1 Mn 0.5000 0.5000 0.2384
Hg1 Hg 0.0000 0.0000 0.5000
```

Calculated values
Energy of formation (meV per atom): 278
VASP energy (eV/atom): -7.345

***

Entry 2:
DFT (PBE) results for a geometry-optimized LiY2Pb structure.

Cell and atoms, written as CIF:
```
data_LiY2Pb
_chemical_formula_sum 'Li2 Y4 Pb2'
_cell_length_a 3.4677
_cell_length_b 5.5881
_cell_length_c 12.6254
_cell_angle_alpha 90.00
_cell_angle_beta 90.00
_cell_angle_gamma 90.00
_symmetry_space_group_name_H-M 'I m m m'
_symmetry_Int_Tables_number 71
_symmetry_space_group_name_Hall '-I 2 2'
loop_
_atom_site_label
_atom_site_type_symbol
_atom_site_fract_x
_atom_site_fract_y
_atom_site_fract_z
Li1 Li 0.0000 0.0000 0.0000
Y1 Y 0.0000 0.0000 0.2515
Pb1 Pb 0.0000 0.0000 0.5000
```

Calculated values
Energy of formation (meV per atom): 202
VASP energy (eV/atom): -4.436

***

Entry 3:
DFT (PBE) results for a geometry-optimized TiGa2S structure.

Cell and atoms, written as CIF:
```
data_TiGa2S
_chemical_formula_sum 'Ti4 Ga8 S4'
_cell_length_a 7.3657
_cell_length_b 7.3657
_cell_length_c 5.1511
_cell_angle_alpha 90.00
_cell_angle_beta 90.00
_cell_angle_gamma 90.00
_symmetry_space_group_name_H-M 'I -4 2 d'
_symmetry_Int_Tables_number 122
_symmetry_space_group_name_Hall 'I -4 2bw'
loop_
_atom_site_label
_atom_site_type_symbol
_atom_site_fract_x
_atom_site_fract_y
_atom_site_fract_z
Ti1 Ti 0.0000 0.0000 0.0000
Ga1 Ga 0.2359 0.2500 0.6250
S1 S 0.0000 0.0000 0.5000
```

Calculated values
Formation energy (no corrections) (eV/atom): -0.10
VASP energy (eV/atom): -4.620

***

Entry 4:
DFT (PBE) results for a geometry-optimized MnW2Au structure.

Cell and atoms, written as CIF:
```
data_MnW2Au
_chemical_formula_sum 'Mn1 W2 Au1'
_cell_length_a 3.8451
_cell_length_b 3.8451
_cell_length_c 4.1473
_cell_angle_alpha 90.00
_cell_angle_beta 90.00
_cell_angle_gamma 90.00
_symmetry_space_group_name_H-M 'P 4/m m m'
_symmetry_Int_Tables_number 123
_symmetry_space_group_name_Hall '-P 4 2'
loop_
_atom_site_label
_atom_site_type_symbol
_atom_site_fract_x
_atom_site_fract_y
_atom_site_fract_z
Mn1 Mn 0.0000 0.0000 0.0000
W1 W 0.0000 0.5000 0.5000
Au1 Au 0.5000 0.5000 0.0000
```

Calculated values
Energy of formation (meV per atom): 299
VASP energy (eV/atom): -9.289
Relative energy among the computed polymorphs (kJ/mol of atoms): 7.4